1.
# SmGe3Ru

A geometry-optimized SmGe3Ru structure (PBE, the Alexandria database).

Summary:
For the calculated volume, the calculation gives 203.8 Å³/cell. For the energy of formation from the pure elements, the calculation gives -0.4586 eV per atom. As for the crystal system: orthorhombic. Its space group is No. 31.

Cell lengths 6.167, 5.752, 5.746 Å; angles 90.00, 90.00, 90.00 degrees
Fractional coordinates of all 10 atoms:
Sm 0.000 0.142 0.000
Sm 0.500 0.858 0.500
Ge 0.000 0.920 0.459
Ge 0.232 0.329 0.536
Ge 0.268 0.671 0.036
Ge 0.500 0.080 0.959
Ge 0.732 0.671 0.036
Ge 0.768 0.329 0.536
Ru 0.000 0.615 0.734
Ru 0.500 0.385 0.234

---

2.
# Ca3NbO

A geometry-optimized Ca3NbO structure (PBE, the Alexandria database).

Summary:
For the calculated volume, the calculation gives 155.2 Å³/cell. The value obtained for the uncorrected formation energy is 5.5 eV per formula unit. As for the crystal system: cubic. Its space group is No. 221.

Cell lengths 5.374, 5.374, 5.374 Å; angles 90.00, 90.00, 90.00 degrees
Fractional coordinates of all 5 atoms:
Ca 0.000 0.000 0.500
Ca 0.000 0.500 0.000
Ca 0.500 0.000 0.000
Nb 0.000 0.000 0.000
O 0.500 0.500 0.500

---

3.
# BeSbTe2Br

A geometry-optimized BeSbTe2Br structure (PBE, the Alexandria database).

Summary:
For the calculated volume, the calculation gives 129.0 Å³/cell. The value obtained for the uncorrected formation energy is 1.6 eV per formula unit. As for the crystal system: tetragonal. Its space group is No. 123.

Cell lengths 4.937, 4.937, 5.293 Å; angles 90.00, 90.00, 90.00 degrees
Fractional coordinates of all 5 atoms:
Be 0.000 0.000 0.000
Sb 0.000 0.000 0.500
Te 0.000 0.500 0.000
Te 0.500 0.000 0.000
Br 0.500 0.500 0.500